Record 1
The following is a meta-GGA SCAN calculation of a PBEsol-optimized structure of Al2IrOs, from Alexandria.

abc: 4.2219 4.2219 2.9949
angles: 90.00 90.00 90.00
With the nearest neighbours (Å) after each atom.
Sites, in units of the cell vectors:
Al (0.0000, 0.5000, 0.0000)  4 Os 2.59, 4 Ir 2.59
Al (0.5000, 0.0000, 0.0000)  4 Os 2.59, 4 Ir 2.59
Ir (0.0000, 0.0000, 0.5000)  8 Al 2.59
Os (0.5000, 0.5000, 0.5000)  8 Al 2.59

Computed properties:
Density of states at the Fermi level ... 2.0 states/eV/f.u.
Uncorrected energy ... -162.35 eV/cell
Energy above the most stable polymorph in this dataset ... 0.008 eV per atom
Crystal system ... tetragonal
Calculated formation energy ... -0.97 eV per atom
SG ... P4/mmm
Volume ... 13.346 A^3/atom



Record 2
The following is a meta-GGA SCAN calculation of a PBEsol-optimized structure of AsPSe2Cl, from Alexandria.

abc: 4.6932 4.6932 4.9392
angles: 90.00 90.00 90.00
With the nearest neighbours (Å) after each atom.
Sites, in units of the cell vectors:
As (0.0000, 0.0000, 0.0000)  2 P 2.47
P (0.0000, 0.0000, 0.5000)  4 Se 2.35, 2 As 2.47
Se (0.0000, 0.5000, 0.5000)  2 P 2.35
Se (0.5000, 0.0000, 0.5000)  2 P 2.35
Cl (0.5000, 0.5000, 0.0000)  4 As 3.32, 8 Se 3.41

Computed properties:
Density of states at the Fermi level ... 3.2 states/eV/f.u.
Uncorrected energy ... -75.63 eV/cell
Energy relative to the elements, uncorrected ... 3.10 eV per formula unit
Crystal system ... tetragonal
SG ... P4/mmm
Volume ... 21.759 A^3/atom



Record 3
The following is a meta-GGA SCAN calculation of a PBEsol-optimized structure of Cs19W12N30, from Alexandria.

abc: 12.1194 12.1194 12.1194
angles: 65.49 65.49 65.49
With the nearest neighbours (Å) after each atom.
Sites, in units of the cell vectors:
Cs (0.0000, 0.0000, 0.0000)  6 N 3.13
Cs (0.0546, 0.9405, 0.3314)  3 N 2.98-3.21
Cs (0.0596, 0.6686, 0.9454)  3 N 2.98-3.21
Cs (0.0763, 0.4177, 0.2538)  7 N 3.21-3.58
Cs (0.1820, 0.5518, 0.4469)  4 N 3.04-3.37
Cs (0.2538, 0.0763, 0.4177)  7 N 3.21-3.58
Cs (0.3314, 0.0546, 0.9404)  3 N 2.98-3.21
Cs (0.4177, 0.2538, 0.0763)  7 N 3.21-3.58
Cs (0.4469, 0.1820, 0.5518)  4 N 3.04-3.37
Cs (0.4482, 0.5531, 0.8180)  4 N 3.04-3.37
Cs (0.5518, 0.4469, 0.1820)  4 N 3.04-3.37
Cs (0.5531, 0.8180, 0.4482)  4 N 3.04-3.37
Cs (0.5823, 0.7462, 0.9237)  7 N 3.21-3.58
Cs (0.6686, 0.9454, 0.0595)  3 N 2.98-3.21
Cs (0.7462, 0.9237, 0.5823)  7 N 3.21-3.58
Cs (0.8180, 0.4482, 0.5531)  4 N 3.04-3.37
Cs (0.9237, 0.5823, 0.7462)  7 N 3.21-3.58
Cs (0.9404, 0.3314, 0.0546)  3 N 2.98-3.21
Cs (0.9454, 0.0596, 0.6686)  3 N 2.98-3.21
W (0.0992, 0.2472, 0.7030)  4 N 1.78-1.91
W (0.2083, 0.7459, 0.5998)  4 N 1.79-1.90
W (0.2472, 0.7030, 0.0992)  4 N 1.78-1.91
W (0.2541, 0.4002, 0.7917)  4 N 1.79-1.90
W (0.2970, 0.9008, 0.7528)  4 N 1.78-1.91
W (0.4002, 0.7917, 0.2541)  4 N 1.79-1.90
W (0.5998, 0.2083, 0.7459)  4 N 1.79-1.90
W (0.7030, 0.0992, 0.2472)  4 N 1.78-1.91
W (0.7459, 0.5998, 0.2083)  4 N 1.79-1.90
W (0.7528, 0.2970, 0.9008)  4 N 1.78-1.91
W (0.7917, 0.2541, 0.4002)  4 N 1.79-1.90
W (0.9008, 0.7528, 0.2970)  4 N 1.78-1.91
N (0.0440, 0.8147, 0.6086)  1 W 1.79
N (0.0727, 0.7338, 0.1952)  2 W 1.90-1.91
N (0.1045, 0.3122, 0.5398)  1 W 1.78
N (0.1691, 0.3351, 0.7424)  2 W 1.89-1.90
N (0.1853, 0.3914, 0.9560)  1 W 1.79
N (0.1952, 0.0727, 0.7338)  2 W 1.90-1.91
N (0.2315, 0.5736, 0.6985)  2 W 1.89
N (0.2576, 0.8309, 0.6649)  2 W 1.89-1.90
N (0.2662, 0.8048, 0.9273)  2 W 1.90-1.91
N (0.3015, 0.7685, 0.4264)  2 W 1.89
N (0.3122, 0.5398, 0.1045)  1 W 1.78
N (0.3351, 0.7424, 0.1691)  2 W 1.89-1.90
N (0.3914, 0.9560, 0.1853)  1 W 1.79
N (0.4264, 0.3015, 0.7685)  2 W 1.89
N (0.4602, 0.8955, 0.6878)  1 W 1.78
N (0.5398, 0.1045, 0.3122)  1 W 1.78
N (0.5736, 0.6985, 0.2315)  2 W 1.89
N (0.6086, 0.0440, 0.8147)  1 W 1.79
N (0.6649, 0.2576, 0.8309)  2 W 1.89-1.90
N (0.6878, 0.4602, 0.8955)  1 W 1.78
N (0.6985, 0.2315, 0.5736)  2 W 1.89
N (0.7338, 0.1952, 0.0727)  2 W 1.90-1.91
N (0.7424, 0.1691, 0.3351)  2 W 1.89-1.90
N (0.7685, 0.4264, 0.3015)  2 W 1.89
N (0.8048, 0.9273, 0.2662)  2 W 1.90-1.91
N (0.8147, 0.6086, 0.0440)  1 W 1.79
N (0.8309, 0.6649, 0.2576)  2 W 1.89-1.90
N (0.8955, 0.6878, 0.4602)  1 W 1.78
N (0.9273, 0.2662, 0.8048)  2 W 1.90-1.91
N (0.9560, 0.1853, 0.3914)  1 W 1.79

Computed properties:
Density of states at the Fermi level ... 7.3 states/eV/f.u.
Uncorrected energy ... -1874.13 eV/cell
Energy relative to the elements, uncorrected ... -40.74 eV per formula unit
Crystal system ... trigonal
SG ... R-3
Volume ... 23.100 A^3/atom



Record 4
The following is a meta-GGA SCAN calculation of a PBEsol-optimized structure of MnOsSe, from Alexandria.

abc: 4.1039 4.1039 4.1039
angles: 60.00 60.00 60.00
With the nearest neighbours (Å) after each atom.
Sites, in units of the cell vectors:
Mn (0.0000, 0.0000, 0.0000)  4 Os 2.51
Os (0.7500, 0.7500, 0.7500)  4 Mn 2.51, 4 Se 2.51
Se (0.5000, 0.5000, 0.5000)  4 Os 2.51

Computed properties:
Density of states at the Fermi level ... 0.8 states/eV/f.u.
Uncorrected energy ... -109.92 eV/cell
Energy above the most stable polymorph in this dataset ... 0.000 eV per atom
Energy relative to the elements, uncorrected ... 0.29 eV per formula unit
Crystal system ... cubic
SG ... F-43m
Volume ... 16.291 A^3/atom



Record 5
The following is a meta-GGA SCAN calculation of a PBEsol-optimized structure of Li7Mg, from Alexandria.

abc: 6.0745 6.0745 6.0745
angles: 60.00 60.00 60.00
With the nearest neighbours (Å) after each atom.
Sites, in units of the cell vectors:
Li (0.0000, 0.0000, 0.0000)  12 Li 3.04
Li (0.0000, 0.0000, 0.5000)  10 Li 3.04, 2 Mg 3.04
Li (0.0000, 0.5000, 0.0000)  10 Li 3.04, 2 Mg 3.04
Li (0.0000, 0.5000, 0.5000)  10 Li 3.04, 2 Mg 3.04
Li (0.5000, 0.0000, 0.0000)  10 Li 3.04, 2 Mg 3.04
Li (0.5000, 0.0000, 0.5000)  10 Li 3.04, 2 Mg 3.04
Li (0.5000, 0.5000, 0.0000)  10 Li 3.04, 2 Mg 3.04
Mg (0.5000, 0.5000, 0.5000)  12 Li 3.04

Computed properties:
Density of states at the Fermi level ... 3.4 states/eV/f.u.
Uncorrected energy ... -21.82 eV/cell
Crystal system ... cubic
Calculated formation energy ... -0.01 eV per atom
SG ... Fm-3m
Volume ... 19.812 A^3/atom



Record 6
The following is a meta-GGA SCAN calculation of a PBEsol-optimized structure of Sr2TcSb, from Alexandria.

abc: 3.5463 3.5463 9.1483
angles: 90.00 90.00 90.00
With the nearest neighbours (Å) after each atom.
Sites, in units of the cell vectors:
Sr (0.0000, 0.0000, 0.0000)  1 Tc 3.33, 4 Sb 3.37, 4 Sr 3.55
Sr (0.5000, 0.5000, 0.3971)  1 Sb 3.27, 4 Tc 3.32, 4 Sr 3.55
Tc (0.0000, 0.0000, 0.6355)  4 Sb 2.73
Sb (0.5000, 0.5000, 0.7546)  4 Tc 2.73

Computed properties:
Density of states at the Fermi level ... 2.4 states/eV/f.u.
Uncorrected energy ... -116.97 eV/cell
Energy relative to the elements, uncorrected ... -0.10 eV per formula unit
Crystal system ... tetragonal
SG ... P4mm
Volume ... 28.763 A^3/atom



Record 7
The following is a meta-GGA SCAN calculation of a PBEsol-optimized structure of TaGeSbS2, from Alexandria.

abc: 4.8628 4.8628 5.3494
angles: 90.00 90.00 90.00
With the nearest neighbours (Å) after each atom.
Sites, in units of the cell vectors:
Ta (0.0000, 0.0000, 0.0000)  2 Sb 2.67
Ge (0.5000, 0.5000, 0.0000)  4 Ta 3.44, 8 S 3.61
Sb (0.0000, 0.0000, 0.5000)  4 S 2.43, 2 Ta 2.67
S (0.0000, 0.5000, 0.5000)  2 Sb 2.43
S (0.5000, 0.0000, 0.5000)  2 Sb 2.43

Computed properties:
Density of states at the Fermi level ... 5.3 states/eV/f.u.
Uncorrected energy ... -135.27 eV/cell
Energy relative to the elements, uncorrected ... 6.92 eV per formula unit
Crystal system ... tetragonal
SG ... P4/mmm
Volume ... 25.299 A^3/atom



Record 8
The following is a meta-GGA SCAN calculation of a PBEsol-optimized structure of La5Mn, from Alexandria.

abc: 6.2696 6.2696 5.8107
angles: 90.00 90.00 120.00
With the nearest neighbours (Å) after each atom.
Sites, in units of the cell vectors:
La (0.0000, 0.5000, 0.0000)  8 La 3.13-3.42
La (0.3333, 0.6667, 0.5000)  9 La 3.42-3.62, 3 Mn 3.62
La (0.5000, 0.0000, 0.0000)  8 La 3.13-3.42
La (0.5000, 0.5000, 0.0000)  8 La 3.13-3.42
La (0.6667, 0.3333, 0.5000)  9 La 3.42-3.62, 3 Mn 3.62
Mn (0.0000, 0.0000, 0.5000)  6 La 3.62

Computed properties:
Density of states at the Fermi level ... 7.4 states/eV/f.u.
Uncorrected energy ... -230.74 eV/cell
Energy above the most stable polymorph in this dataset ... 0.463 eV per atom
Crystal system ... hexagonal
Calculated formation energy ... 0.51 eV per atom
SG ... P6/mmm
Volume ... 32.968 A^3/atom



Record 9
The following is a meta-GGA SCAN calculation of a PBEsol-optimized structure of CsSnN2F, from Alexandria.

abc: 4.3440 4.3440 4.9517
angles: 90.00 90.00 90.00
With the nearest neighbours (Å) after each atom.
Sites, in units of the cell vectors:
Cs (0.0000, 0.0000, 0.0000)  4 N 2.17
Sn (0.5000, 0.5000, 0.5000)  4 F 3.07, 8 N 3.29
N (0.0000, 0.5000, 0.0000)  2 Cs 2.17
N (0.5000, 0.0000, 0.0000)  2 Cs 2.17
F (0.0000, 0.0000, 0.5000)  2 Cs 2.48

Computed properties:
Density of states at the Fermi level ... 1.8 states/eV/f.u.
Uncorrected energy ... -88.51 eV/cell
Energy relative to the elements, uncorrected ... 7.34 eV per formula unit
Crystal system ... tetragonal
SG ... P4/mmm
Volume ... 18.688 A^3/atom



Record 10
The following is a meta-GGA SCAN calculation of a PBEsol-optimized structure of Cs2InAsBr6, from Alexandria.

abc: 7.8948 7.8948 7.8948
angles: 60.00 60.00 60.00
With the nearest neighbours (Å) after each atom.
Sites, in units of the cell vectors:
Cs (0.2500, 0.2500, 0.2500)  12 Br 3.95
Cs (0.7500, 0.7500, 0.7500)  12 Br 3.95
In (0.0000, 0.0000, 0.0000)  6 Br 2.93
As (0.5000, 0.5000, 0.5000)  6 Br 2.66
Br (0.2620, 0.2620, 0.7380)  1 As 2.66, 1 In 2.93
Br (0.2620, 0.7380, 0.2620)  1 As 2.66, 1 In 2.93
Br (0.2620, 0.7380, 0.7380)  1 As 2.66, 1 In 2.93
Br (0.7380, 0.2620, 0.2620)  1 As 2.66, 1 In 2.93
Br (0.7380, 0.2620, 0.7380)  1 As 2.66, 1 In 2.93
Br (0.7380, 0.7380, 0.2620)  1 As 2.66, 1 In 2.93

Computed properties:
Density of states at the Fermi level ... 0.1 states/eV/f.u.
Uncorrected energy ... -257.88 eV/cell
Energy relative to the elements, uncorrected ... -11.93 eV per formula unit
Crystal system ... cubic
SG ... Fm-3m
Volume ... 34.794 A^3/atom



Record 11
The following is a meta-GGA SCAN calculation of a PBEsol-optimized structure of SnGeTe2N, from Alexandria.

abc: 5.7747 5.7747 3.4926
angles: 90.00 90.00 90.00
With the nearest neighbours (Å) after each atom.
Sites, in units of the cell vectors:
Sn (0.0000, 0.0000, 0.0000)  8 Te 3.37, 2 Sn 3.49
Ge (0.5000, 0.5000, 0.5000)  2 N 1.75
Te (0.0000, 0.5000, 0.5000)  2 Ge 2.89
Te (0.5000, 0.0000, 0.5000)  2 Ge 2.89
N (0.5000, 0.5000, 0.0000)  2 Ge 1.75

Computed properties:
Density of states at the Fermi level ... 1.9 states/eV/f.u.
Uncorrected energy ... -136.04 eV/cell
Energy relative to the elements, uncorrected ... 2.77 eV per formula unit
Crystal system ... tetragonal
SG ... P4/mmm
Volume ... 23.294 A^3/atom



Record 12
The following is a meta-GGA SCAN calculation of a PBEsol-optimized structure of CdInRh, from Alexandria.

abc: 6.1188 6.1188 6.1188
angles: 150.74 150.74 41.86
With the nearest neighbours (Å) after each atom.
Sites, in units of the cell vectors:
Cd (0.0000, 0.0000, 0.0000)  4 Rh 2.80, 4 Cd 3.09
In (0.2933, 0.2933, 0.0000)  4 Rh 2.71
Rh (0.6531, 0.6531, 0.0000)  4 In 2.71, 4 Cd 2.80

Computed properties:
Density of states at the Fermi level ... 1.6 states/eV/f.u.
Uncorrected energy ... -98.02 eV/cell
Crystal system ... tetragonal
Calculated formation energy ... -0.15 eV per atom
SG ... I4mm
Volume ... 18.205 A^3/atom